Mg2ZrGa: relaxed, PBE.

Summary:
As for the energy of formation: -0.271 eV per atom. As for the symmetry: No. 123.

Cell and atoms, written as CIF:
```
data_Mg2ZrGa
_chemical_formula_sum 'Mg2 Zr1 Ga1'
_cell_length_a 4.496
_cell_length_b 4.183
_cell_length_c 4.183
_cell_angle_alpha 90.00
_cell_angle_beta 90.00
_cell_angle_gamma 90.00
_symmetry_space_group_name_H-M 'P 1'
_symmetry_Int_Tables_number 1
loop_
_symmetry_equiv_pos_as_xyz
'x,y,z'
loop_
_atom_site_label
_atom_site_fract_x
_atom_site_fract_y
_atom_site_fract_z
Mg1 0.000 0.000 0.500
Mg2 0.000 0.500 0.000
Ga1 0.500 0.000 0.000
Zr1 0.500 0.500 0.500
```